# 1
CrCu2NiSb: optimized geometry, PBE-GGA.

Computed properties:
ΔE_f (raw) in eV/atom: 0.9343
Crystal system: tetragonal
Volume in A^3/atom: 21.235

Cell: 4.764 4.679 4.764 Å, 90.00 90.00 90.00°
Site moments in Bohr magnetons follow the coordinates.
Fractional positions:
1 Sb 0.000 0.000 0.000  0.01
2 Cr 0.500 0.500 0.500  4.13
3 Cu 0.000 0.000 0.500  0.01
4 Cu 0.500 0.000 0.000  0.00
5 Ni 0.000 0.500 0.000  -0.11

---

# 2
SrCdF3: optimized geometry, PBE-GGA.

Computed properties:
ΔE to the lowest computed polymorph in kcal/mol of atoms: 0.00
ΔE_f (raw) in eV/atom: -2.5660
Crystal system: cubic
Volume in A^3/atom: 21.257

Cell: 4.737 4.737 4.737 Å, 90.00 90.00 90.00°
Site moments in Bohr magnetons follow the coordinates.
Fractional positions:
1 Sr 0.000 0.000 0.000  0.00
2 F 0.000 0.500 0.000  0.05
3 F 0.000 0.000 0.500  0.04
4 F 0.500 0.000 0.000  0.03
5 Cd 0.500 0.500 0.500  0.29

---

# 3
CsSiTeHSe: optimized geometry, PBE-GGA.

Computed properties:
ΔE to the lowest computed polymorph in kcal/mol of atoms: 4.64
Crystal system: triclinic
Volume in A^3/atom: 31.378

Cell: 3.976 6.216 6.807 Å, 77.04 73.47 89.52°
Fractional positions:
1 Cs 0.455 0.170 0.122
2 Si 0.177 0.572 0.664
3 Te 0.819 0.609 0.385
4 H 0.845 0.024 0.628
5 Se 0.153 0.959 0.709

---

# 4
ZnSb2Se: optimized geometry, PBE-GGA.

Computed properties:
ΔE to the lowest computed polymorph in kcal/mol of atoms: 10.78
ΔE_f (raw) in eV/atom: 0.2717
Crystal system: tetragonal
Volume in A^3/atom: 23.885

Cell: 5.601 5.601 5.601 Å, 131.85 131.85 70.47°
Fractional positions:
1 Sb 0.000 0.000 0.000
2 Sb 0.250 0.750 0.500
3 Se 0.500 0.500 0.000
4 Zn 0.750 0.250 0.500

---

# 5
La7Tb6Ho16: optimized geometry, PBE-GGA.

Computed properties:
Calculated formation energy in meV per atom: 268
Crystal system: cubic
Volume in A^3/atom: 35.163

Cell: 11.298 11.298 11.298 Å, 60.00 60.00 60.00°
Fractional positions:
1 La 0.000 0.000 0.000
2 La 0.500 0.000 0.500
3 La 0.000 0.500 0.000
4 La 0.000 0.500 0.500
5 La 0.500 0.000 0.000
6 La 0.000 0.000 0.500
7 La 0.500 0.500 0.000
8 Tb 0.253 0.747 0.253
9 Tb 0.747 0.253 0.747
10 Tb 0.747 0.253 0.253
11 Tb 0.253 0.747 0.747
12 Tb 0.747 0.747 0.253
13 Tb 0.253 0.253 0.747
14 Ho 0.870 0.870 0.391
15 Ho 0.870 0.870 0.870
16 Ho 0.870 0.391 0.870
17 Ho 0.391 0.870 0.870
18 Ho 0.130 0.130 0.130
19 Ho 0.130 0.130 0.609
20 Ho 0.130 0.609 0.130
21 Ho 0.609 0.130 0.130
22 Ho 0.651 0.651 0.048
23 Ho 0.651 0.651 0.651
24 Ho 0.651 0.048 0.651
25 Ho 0.048 0.651 0.651
26 Ho 0.349 0.349 0.349
27 Ho 0.349 0.349 0.952
28 Ho 0.349 0.952 0.349
29 Ho 0.952 0.349 0.349

---

# 6
Rb2YTeW: optimized geometry, PBE-GGA.

Computed properties:
ΔE_f (raw) in eV/atom: 1.0493
Crystal system: tetragonal
Volume in A^3/atom: 43.143

Cell: 6.336 5.373 6.336 Å, 90.00 90.00 90.00°
Site moments in Bohr magnetons follow the coordinates.
Fractional positions:
1 Y 0.000 0.500 0.000  -0.03
2 Te 0.500 0.500 0.500  0.04
3 Rb 0.000 0.000 0.500  0.04
4 Rb 0.500 0.000 0.000  0.05
5 W 0.000 0.000 0.000  1.95